Record 1
A relaxed structure of BaGe4Pt5, computed with PBE.

For the density, the calculation gives 11.7 g/cm3. For the size of the total moment, the calculation gives 0.00 μB/cell. Its formation energy is -531 kJ/mol of formula units.

It has space group Pmmn (No. 59, origin choice 2), with a = 7.417 Å, b = 11.805 Å, c = 4.560 Å, α = 90.00°, β = 90.00° and γ = 90.00°. The asymmetric unit holds Ba at (0.250, 0.250, 0.052), Ge at (0.071, 0.750, 0.479), Ge at (0.250, 0.537, 0.770), Pt at (0.054, 0.560, 0.255) and Pt at (0.250, 0.750, 0.976).

Record 2
A relaxed structure of Ba3Ge4Pt4, computed with PBE.

For the density, the calculation gives 9.2 g/cm3. For the size of the total moment, the calculation gives 0.00 μB/cell. Its formation energy is -806 kJ/mol of formula units.

It has space group Immm (No. 71), with a = 4.482 Å, b = 4.711 Å, c = 25.313 Å, α = 90.00°, β = 90.00° and γ = 90.00°. The asymmetric unit holds Ba at (0.000, 0.000, 0.000), Ba at (0.000, 0.500, 0.353), Ge at (0.000, 0.000, 0.450), Ge at (0.000, 0.500, 0.203), Pt at (0.000, 0.000, 0.247) and Pt at (0.000, 0.500, 0.100).

Record 3
A relaxed structure of BaGe4Pt, computed with PBE.

For the density, the calculation gives 7.6 g/cm3. For the size of the total moment, the calculation gives 0.00 μB/cell. Its formation energy is -197 kJ/mol of formula units.

It has space group Cmcm (No. 63), with a = 4.165 Å, b = 21.512 Å, c = 6.113 Å, α = 90.00°, β = 90.00° and γ = 90.00°. The asymmetric unit holds Ba at (0.000, 0.116, 0.250), Ge at (0.000, 0.056, 0.750), Ge at (0.000, 0.284, 0.513), Ge at (0.000, 0.500, 0.000) and Pt at (0.000, 0.375, 0.250).

Record 4
A relaxed structure of BaGePt4, computed with PBE.

For the density, the calculation gives 13.3 g/cm3. For the size of the total moment, the calculation gives 0.00 μB/cell. Its formation energy is -309 kJ/mol of formula units.

It has space group C2/m (No. 12), with a = 10.312 Å, b = 7.256 Å, c = 7.047 Å, α = 90.00°, β = 110.00° and γ = 90.00°. The asymmetric unit holds Ba at (0.163, 0.000, 0.270), Ge at (0.078, 0.500, 0.292), Pt at (0.000, 0.255, 0.500), Pt at (0.116, 0.306, 0.915) and Pt at (0.197, 0.000, 0.760).

Record 5
A relaxed structure of Ba2GePt2, computed with PBE.

For the density, the calculation gives 8.1 g/cm3. For the size of the total moment, the calculation gives 0.00 μB/cell. Its formation energy is -275 kJ/mol of formula units.

It has space group I4/mmm (No. 139), with a = 6.312 Å, b = 6.312 Å, c = 7.562 Å, α = 90.00°, β = 90.00° and γ = 90.00°. The asymmetric unit holds Ba at (0.000, 0.500, 0.250), Ge at (0.000, 0.000, 0.000) and Pt at (0.000, 0.000, 0.324).

Record 6
A relaxed structure of Ba3Ge9Pt2, computed with PBE.

For the density, the calculation gives 7.4 g/cm3. For the size of the total moment, the calculation gives 0.00 μB/cell. Its formation energy is -490 kJ/mol of formula units.

It has space group Immm (No. 71), with a = 4.338 Å, b = 11.479 Å, c = 13.169 Å, α = 90.00°, β = 90.00° and γ = 90.00°. The asymmetric unit holds Ba at (0.000, 0.000, 0.000), Ba at (0.000, 0.000, 0.308), Ge at (0.000, 0.286, 0.125), Ge at (0.000, 0.351, 0.342), Ge at (0.000, 0.500, 0.000) and Pt at (0.000, 0.220, 0.500).

Record 7
A relaxed structure of Ba3Ge4Pt7, computed with PBE.

For the density, the calculation gives 9.2 g/cm3. For the size of the total moment, the calculation gives 0.00 μB/cell. Its formation energy is -802 kJ/mol of formula units.

It has space group C2/m (No. 12), with a = 16.798 Å, b = 4.449 Å, c = 10.622 Å, α = 90.00°, β = 110.14° and γ = 90.00°. The asymmetric unit holds Ba at (0.000, 0.000, 0.000), Ba at (0.186, 0.500, 0.711), Ge at (0.102, 0.000, 0.356), Ge at (0.159, 0.500, 0.034), Pt at (0.000, 0.000, 0.500), Pt at (0.049, 0.500, 0.422), Pt at (0.128, 0.500, 0.242) and Pt at (0.192, 0.000, 0.969).

Record 8
A relaxed structure of Ba2Ge4Pt3, computed with PBE.

For the density, the calculation gives 9.1 g/cm3. For the size of the total moment, the calculation gives 0.00 μB/cell. Its formation energy is -486 kJ/mol of formula units.

It has space group Fmmm (No. 69), with a = 5.769 Å, b = 11.096 Å, c = 13.047 Å, α = 90.00°, β = 90.00° and γ = 90.00°. The asymmetric unit holds Ba at (0.000, 0.000, 0.140), Ge at (0.000, 0.174, 0.353), Pt at (0.000, 0.000, 0.500) and Pt at (0.250, 0.250, 0.000).

Record 9
A relaxed structure of Ba2GePt3, computed with PBE.

For the density, the calculation gives 9.6 g/cm3. For the size of the total moment, the calculation gives 0.00 μB/cell. Its formation energy is -425 kJ/mol of formula units.

It has space group Pmm2 (No. 25), with a = 4.265 Å, b = 4.738 Å, c = 7.987 Å, α = 90.00°, β = 90.00° and γ = 90.00°. The asymmetric unit holds Ba at (0.000, 0.000, 0.000), Ba at (0.500, 0.000, 0.471), Ge at (0.000, 0.500, 0.655), Pt at (0.000, 0.500, 0.350), Pt at (0.500, 0.500, 0.140) and Pt at (0.500, 0.500, 0.812).

Record 10
A relaxed structure of Ba4GePt3, computed with PBE.

For the density, the calculation gives 7.9 g/cm3. For the size of the total moment, the calculation gives 0.00 μB/cell. Its formation energy is -532 kJ/mol of formula units.

It has space group Pmm2 (No. 25), with a = 4.649 Å, b = 4.694 Å, c = 11.701 Å, α = 90.00°, β = 90.00° and γ = 90.00°. The asymmetric unit holds Ba at (0.000, 0.000, 0.000), Ba at (0.000, 0.500, 0.484), Ba at (0.500, 0.000, 0.705), Ba at (0.500, 0.500, 0.211), Ge at (0.000, 0.500, 0.806), Pt at (0.000, 0.000, 0.280), Pt at (0.500, 0.000, 0.420) and Pt at (0.500, 0.500, 0.895).